(1)
Material: NaMnBiOs
Method: DFT, PBE
State: relaxed

Cell lengths 9.7883, 3.5173, 5.9359 Å; angles 90.00, 118.89, 90.00 degrees
Space group Cm (No. 8)
One atom of each set of equivalent atoms:
Na: 0.0000 0.0000 0.0000
Mn: 0.2893 0.5000 0.2355
Bi: 0.1128 0.5000 0.6222
Os: 0.3014 0.0000 0.5225

Calculated values
For the raw total energy, the calculation gives -5.763 eV per atom. As for the volume: 178.93 Å³ per cell. The value obtained for the formation energy is 0.64 eV per atom. For the energy above the lowest structure with this stoichiometry, the calculation gives 0.2218 eV per atom.

(2)
Material: ThScPb
Method: DFT, PBE
State: relaxed

Cell lengths 3.6804, 3.6804, 12.6034 Å; angles 90.00, 90.00, 90.00 degrees
Space group I4mm (No. 107)
One atom of each set of equivalent atoms:
Th: 0.0000 0.0000 0.0000
Sc: 0.0000 0.0000 0.3194
Pb: 0.0000 0.0000 0.6811

Calculated values
For the raw total energy, the calculation gives -5.963 eV per atom. As for the volume: 170.72 Å³ per cell. The value obtained for the formation energy is -0.14 eV per atom. For the energy above the lowest structure with this stoichiometry, the calculation gives 0.1763 eV per atom.

(3)
Material: Nd12Y2Er
Method: DFT, PBE
State: relaxed

Cell lengths 7.2336, 11.6654, 24.9992 Å; angles 90.00, 90.00, 90.00 degrees
Space group Cmme (No. 67)
One atom of each set of equivalent atoms:
Nd: 0.0000 0.0019 0.0733
Nd: 0.0000 0.0241 0.5604
Nd: 0.2304 0.2500 0.4145
Nd: 0.2484 0.2500 0.8708
Nd: 0.2500 0.0000 0.1979
Nd: 0.2500 0.0000 0.3243
Y: 0.0000 0.2500 0.2662
Y: 0.0000 0.2500 0.7294
Er: 0.0000 0.2500 0.9992

Calculated values
For the raw total energy, the calculation gives -4.829 eV per atom. As for the volume: 2109.50 Å³ per cell. The value obtained for the formation energy is 0.15 eV per atom.

(4)
Material: Rb2LaGe2S6
Method: DFT, PBE
State: relaxed

Cell lengths 11.3824, 7.5817, 8.3779 Å; angles 90.00, 107.05, 90.00 degrees
Space group C2/m (No. 12)
One atom of each set of equivalent atoms:
Rb: 0.1962 0.0000 0.1305
La: 0.0000 0.0000 0.5000
Ge: 0.0441 0.5000 0.3639
S: 0.0379 0.2569 0.7696
S: 0.2445 0.5000 0.4522

Calculated values
The uncorrected formation energy comes out at -10.3 eV/f.u. For the raw total energy, the calculation gives -4.652 eV per atom. As for the volume: 691.23 Å³ per cell.

(5)
Material: SeNClF2
Method: DFT, PBE
State: relaxed

Cell lengths 4.1614, 4.1614, 4.2913 Å; angles 90.00, 90.00, 90.00 degrees
Space group P4/mmm (No. 123)
One atom of each set of equivalent atoms:
Se: 0.0000 0.0000 0.0000
N: 0.5000 0.5000 0.0000
Cl: 0.5000 0.5000 0.5000
F: 0.0000 0.5000 0.5000

Calculated values
The uncorrected formation energy comes out at 5.4 eV/f.u. For the raw total energy, the calculation gives -2.392 eV per atom. As for the volume: 74.31 Å³ per cell. For the energy above the lowest structure with this stoichiometry, the calculation gives 0.7660 eV per atom.

(6)
Material: NaCd2GaCu
Method: DFT, PBE
State: relaxed

Cell lengths 5.0646, 5.0646, 4.6815 Å; angles 90.00, 90.00, 90.00 degrees
Space group P4/mmm (No. 123)
One atom of each set of equivalent atoms:
Na: 0.0000 0.0000 0.0000
Cd: 0.0000 0.5000 0.5000
Ga: 0.5000 0.5000 0.0000
Cu: 0.5000 0.5000 0.5000

Calculated values
For the raw total energy, the calculation gives -2.001 eV per atom. As for the volume: 120.08 Å³ per cell. The value obtained for the formation energy is 0.05 eV per atom.

no.,N(E_F) (states/eV per atom)
1,0.70
2,1.66
3,1.50
4,0.57
5,0.62
6,0.40